A relaxed KCuTeOsSe2 crystal. Source: OQMD, functional PBE.

Geometry as POSCAR:
```
KCuTeOsSe2
1.0
3.163 2.870 -6.757
-4.770 0.609 6.386
7.463 3.998 5.192
Cu K Os Se Te
2 2 2 4 2
Cartesian
4.755 3.792 -5.004
1.102 3.686 9.826
-0.715 2.233 4.057
6.571 5.245 0.764
-0.803 1.740 -0.185
2.928 3.739 2.411
2.633 2.795 -5.170
5.762 4.471 -2.993
0.094 3.007 7.814
3.224 4.684 9.991
1.694 2.919 0.066
4.162 4.559 4.755
```

## Properties
As for the total energy: -4.600 eV/atom. Its crystal system is orthorhombic.